LaSb3O after structural relaxation, computed with GGA-PBEsol.

The uncorrected formation energy is -0.7756 eV/atom. Its space group is Pm-3m (221). The total magnetic moment is 0.0 μB/f.u.

a = 4.8244 Å, b = 4.8244 Å, c = 4.8244 Å
α = 90.00°, β = 90.00°, γ = 90.00°
Atoms (fractional coordinates):
Sb 0.0000 0.5000 0.0000
O 0.0000 0.0000 0.0000
Sb 0.0000 0.0000 0.5000
La 0.5000 0.5000 0.5000
Sb 0.5000 0.0000 0.0000